No. 1
The following is a DFT calculation (PBE) of a relaxed YGa4Ru2Pt crystal.

**Calculated formation energy**: -46.7 kJ per mole of atoms
**Volume**: 16.83 A^3/atom

Cell: 4.2746 4.2746 25.5185 Å, 90.00 90.00 120.00°
Space group R-3m (No. 166, hexagonal axes)
Asymmetric unit:
Y 0.0000 0.0000 0.0000 (multiplicity 3)
Ga 0.0000 0.0000 0.1280 (multiplicity 6)
Ga 0.0000 0.0000 0.3971 (multiplicity 6)
Ru 0.0000 0.0000 0.2344 (multiplicity 6)
Pt 0.0000 0.0000 0.5000 (multiplicity 3)

No. 2
The following is a DFT calculation (PBE) of a relaxed Y2Ga4RuPt3 crystal.

**Calculated formation energy**: -83.4 kJ per mole of atoms
**Volume**: 18.68 A^3/atom

Cell: 4.278 4.278 10.208 Å, 90.00 90.00 90.00°
Space group P-4m2 (No. 115)
Asymmetric unit:
Y 0.000 0.500 0.236 (multiplicity 2)
Ga 0.000 0.000 0.500 (multiplicity 1)
Ga 0.000 0.500 0.874 (multiplicity 2)
Ga 0.500 0.500 0.500 (multiplicity 1)
Ru 0.500 0.500 0.000 (multiplicity 1)
Pt 0.000 0.000 0.000 (multiplicity 1)
Pt 0.000 0.500 0.633 (multiplicity 2)

No. 3
The following is a DFT calculation (PBE) of a relaxed GaPt2S crystal.

**Formation energy from raw total energies**: -0.24 eV per atom
**Volume**: 18.80 A^3/atom

Cell: 4.560 4.560 14.464 Å, 90.00 90.00 90.00°
Space group I-42d (No. 122)
Asymmetric unit:
Ga 0.000 0.000 0.000 (multiplicity 4)
Pt 0.196 0.250 0.625 (multiplicity 8)
S 0.000 0.000 0.500 (multiplicity 4)

No. 4
The following is a DFT calculation (PBE) of a relaxed GaPtS6 crystal.

**Formation energy from raw total energies**: -0.09 eV per atom
**Volume**: 23.67 A^3/atom

Cell: 5.846 5.936 6.548 Å, 64.75 67.21 82.22°
Space group P-1 (No. 2)
Asymmetric unit:
Ga 0.000 0.000 0.000 (multiplicity 1)
Pt 0.500 0.500 0.000 (multiplicity 1)
S 0.090 0.585 0.136 (multiplicity 2)
S 0.344 0.105 0.299 (multiplicity 2)
S 0.414 0.163 0.681 (multiplicity 2)

No. 5
The following is a DFT calculation (PBE) of a relaxed Ga2PtS crystal.

**Formation energy from raw total energies**: -0.24 eV per atom
**Volume**: 23.07 A^3/atom

Cell: 4.0243 4.0243 19.7416 Å, 90.00 90.00 120.00°
Space group R-3m (No. 166, hexagonal axes)
Asymmetric unit:
Ga 0.0000 0.0000 0.1118 (multiplicity 6)
Pt 0.0000 0.0000 0.5000 (multiplicity 3)
S 0.0000 0.0000 0.0000 (multiplicity 3)

No. 6
The following is a DFT calculation (PBE) of a relaxed GaPt2S crystal.

**Formation energy from raw total energies**: 0.03 eV per atom
**Volume**: 15.47 A^3/atom

Cell: 6.279 6.279 6.279 Å, 90.00 90.00 90.00°
Space group Fm-3m (No. 225)
Asymmetric unit:
Ga 0.000 0.000 0.000 (multiplicity 4)
Pt 0.250 0.250 0.250 (multiplicity 8)
S 0.000 0.000 0.500 (multiplicity 4)

No. 7
The following is a DFT calculation (PBE) of a relaxed Ga2PtS crystal.

**Formation energy from raw total energies**: -0.35 eV per atom
**Volume**: 21.58 A^3/atom

Cell: 6.076 6.076 9.351 Å, 90.00 90.00 90.00°
Space group I-42d (No. 122)
Asymmetric unit:
Ga 0.250 0.250 0.125 (multiplicity 8)
Pt 0.000 0.000 0.000 (multiplicity 4)
S 0.000 0.000 0.500 (multiplicity 4)

No. 8
The following is a DFT calculation (PBE) of a relaxed GaSbPt2S crystal.

**Formation energy from raw total energies**: 0.38 eV per atom
**Volume**: 22.24 A^3/atom

Cell: 4.490 4.490 5.516 Å, 90.00 90.00 90.00°
Space group P4/mmm (No. 123)
Asymmetric unit:
Ga 0.000 0.000 0.000 (multiplicity 1)
Sb 0.500 0.500 0.000 (multiplicity 1)
Pt 0.000 0.500 0.500 (multiplicity 2)
S 0.500 0.500 0.500 (multiplicity 1)

No. 9
The following is a DFT calculation (PBE) of a relaxed Ga2PtSeS crystal.

**Formation energy from raw total energies**: 0.74 eV per atom
**Volume**: 23.25 A^3/atom

Cell: 4.968 4.968 4.711 Å, 90.00 90.00 90.00°
Space group P4/mmm (No. 123)
Asymmetric unit:
Ga 0.000 0.500 0.000 (multiplicity 2)
Pt 0.000 0.000 0.500 (multiplicity 1)
Se 0.500 0.500 0.000 (multiplicity 1)
S 0.500 0.500 0.500 (multiplicity 1)

No. 10
The following is a DFT calculation (PBE) of a relaxed GaTePtS2 crystal.

**Formation energy from raw total energies**: 0.53 eV per atom
**Volume**: 26.57 A^3/atom

Cell: 5.170 5.170 4.970 Å, 90.00 90.00 90.00°
Space group P4/mmm (No. 123)
Asymmetric unit:
Ga 0.000 0.000 0.000 (multiplicity 1)
Te 0.500 0.500 0.500 (multiplicity 1)
Pt 0.500 0.500 0.000 (multiplicity 1)
S 0.000 0.500 0.500 (multiplicity 2)

No. 11
The following is a DFT calculation (PBE) of a relaxed TiGa2PtS crystal.

**Formation energy from raw total energies**: 0.42 eV per atom
**Volume**: 22.59 A^3/atom

Cell: 4.686 4.686 5.142 Å, 90.00 90.00 90.00°
Space group P4/mmm (No. 123)
Asymmetric unit:
Ti 0.000 0.000 0.000 (multiplicity 1)
Ga 0.000 0.500 0.500 (multiplicity 2)
Pt 0.500 0.500 0.500 (multiplicity 1)
S 0.500 0.500 0.000 (multiplicity 1)

No. 12
The following is a DFT calculation (PBE) of a relaxed Ga2SbPt2 crystal.

**Formation energy from raw total energies**: -0.26 eV per atom
**Distance to the lowest polymorph of the same formula**: 0.886 eV per formula unit
**Volume**: 18.86 A^3/atom

Cell: 4.211 4.211 10.636 Å, 90.00 90.00 90.00°
Space group I4/mmm (No. 139)
Asymmetric unit:
Ga 0.000 0.000 0.116 (multiplicity 4)
Sb 0.000 0.000 0.500 (multiplicity 2)
Pt 0.000 0.500 0.250 (multiplicity 4)

No. 13
The following is a DFT calculation (PBE) of a relaxed Ga2SbPt2 crystal.

**Formation energy from raw total energies**: -0.41 eV per atom
**Distance to the lowest polymorph of the same formula**: 0.102 eV per formula unit
**Volume**: 17.56 A^3/atom

Cell: 7.771 7.771 2.908 Å, 90.00 90.00 90.00°
Space group P4/mbm (No. 127)
Asymmetric unit:
Ga 0.140 0.360 0.000 (multiplicity 4)
Sb 0.000 0.000 0.500 (multiplicity 2)
Pt 0.155 0.655 0.500 (multiplicity 4)

No. 14
The following is a DFT calculation (PBE) of a relaxed GaSb2Pt2 crystal.

**Formation energy from raw total energies**: -0.16 eV per atom
**Volume**: 20.43 A^3/atom

Cell: 7.133 7.133 4.016 Å, 90.00 90.00 90.00°
Space group P4/mbm (No. 127)
Asymmetric unit:
Ga 0.000 0.000 0.000 (multiplicity 2)
Sb 0.166 0.334 0.500 (multiplicity 4)
Pt 0.142 0.642 0.000 (multiplicity 4)

No. 15
The following is a DFT calculation (PBE) of a relaxed GaSb3Pt crystal.

**Formation energy from raw total energies**: 0.41 eV per atom
**Distance to the lowest polymorph of the same formula**: 0.000 eV per formula unit
**Volume**: 30.33 A^3/atom

Cell: 5.333 5.333 5.333 Å, 90.00 90.00 90.00°
Space group Pm-3m (No. 221)
Asymmetric unit:
Ga 0.000 0.000 0.000 (multiplicity 1)
Sb 0.000 0.500 0.500 (multiplicity 3)
Pt 0.500 0.500 0.500 (multiplicity 1)

No. 16
The following is a DFT calculation (PBE) of a relaxed GaSb2Pt9 crystal.

**Formation energy from raw total energies**: -0.26 eV per atom
**Volume**: 16.50 A^3/atom

Cell: 4.047 4.047 12.089 Å, 90.00 90.00 90.00°
Space group P4/mmm (No. 123)
Asymmetric unit:
Ga 0.000 0.000 0.000 (multiplicity 1)
Sb 0.000 0.000 0.325 (multiplicity 2)
Pt 0.000 0.500 0.159 (multiplicity 4)
Pt 0.000 0.500 0.500 (multiplicity 2)
Pt 0.500 0.500 0.000 (multiplicity 1)
Pt 0.500 0.500 0.331 (multiplicity 2)

No. 17
The following is a DFT calculation (PBE) of a relaxed Ga3SbPt crystal.

**Formation energy from raw total energies**: -0.10 eV per atom
**Distance to the lowest polymorph of the same formula**: 0.000 eV per formula unit
**Volume**: 23.28 A^3/atom

Cell: 4.882 4.882 4.882 Å, 90.00 90.00 90.00°
Space group Pm-3m (No. 221)
Asymmetric unit:
Ga 0.000 0.000 0.500 (multiplicity 3)
Sb 0.500 0.500 0.500 (multiplicity 1)
Pt 0.000 0.000 0.000 (multiplicity 1)

No. 18
The following is a DFT calculation (PBE) of a relaxed Ga3SbPt12 crystal.

**Formation energy from raw total energies**: -0.40 eV per atom
**Volume**: 15.76 A^3/atom

Cell: 3.980 3.980 15.917 Å, 90.00 90.00 90.00°
Space group P4/mmm (No. 123)
Asymmetric unit:
Ga 0.000 0.000 0.000 (multiplicity 1)
Ga 0.000 0.000 0.241 (multiplicity 2)
Sb 0.000 0.000 0.500 (multiplicity 1)
Pt 0.000 0.500 0.123 (multiplicity 4)
Pt 0.000 0.500 0.368 (multiplicity 4)
Pt 0.500 0.500 0.000 (multiplicity 1)
Pt 0.500 0.500 0.246 (multiplicity 2)
Pt 0.500 0.500 0.500 (multiplicity 1)

No. 19
The following is a DFT calculation (PBE) of a relaxed Ga2SbPt8 crystal.

**Formation energy from raw total energies**: -0.35 eV per atom
**Volume**: 16.32 A^3/atom

Cell: 14.312 3.920 6.597 Å, 90.00 104.08 90.00°
Space group C2/m (No. 12)
Asymmetric unit:
Ga 0.206 0.000 0.178 (multiplicity 4)
Sb 0.000 0.500 0.500 (multiplicity 2)
Pt 0.028 0.000 0.237 (multiplicity 4)
Pt 0.098 0.500 0.995 (multiplicity 4)
Pt 0.172 0.000 0.771 (multiplicity 4)
Pt 0.175 0.500 0.449 (multiplicity 4)

No. 20
The following is a DFT calculation (PBE) of a relaxed GaSb3Pt crystal.

**Formation energy from raw total energies**: 0.90 eV per atom
**Distance to the lowest polymorph of the same formula**: 2.467 eV per formula unit
**Volume**: 27.34 A^3/atom

Cell: 5.151 5.151 5.151 Å, 90.00 90.00 90.00°
Space group Pm-3m (No. 221)
Asymmetric unit:
Ga 0.000 0.000 0.000 (multiplicity 1)
Sb 0.000 0.000 0.500 (multiplicity 3)
Pt 0.500 0.500 0.500 (multiplicity 1)

Number 1: DOS(E_F) 0.60 states/eV per atom. Number 2: DOS(E_F) 0.39 states/eV per atom. Number 3: DOS(E_F) 0.40 states/eV per atom. Number 4: DOS(E_F) 0.22 states/eV per atom. Number 5: DOS(E_F) 0.10 states/eV per atom. Number 6: DOS(E_F) 1.13 states/eV per atom. Number 7: DOS(E_F) 0.05 states/eV per atom. Number 8: DOS(E_F) 0.84 states/eV per atom. Number 9: DOS(E_F) 0.73 states/eV per atom. Number 10: DOS(E_F) 0.83 states/eV per atom. Number 11: DOS(E_F) 1.84 states/eV per atom. Number 12: DOS(E_F) 0.38 states/eV per atom. Number 13: DOS(E_F) 0.42 states/eV per atom. Number 14: DOS(E_F) 0.57 states/eV per atom. Number 15: DOS(E_F) 1.12 states/eV per atom. Number 16: DOS(E_F) 0.59 states/eV per atom. Number 17: DOS(E_F) 0.86 states/eV per atom. Number 18: DOS(E_F) 0.64 states/eV per atom. Number 19: DOS(E_F) 0.44 states/eV per atom. Number 20: DOS(E_F) 0.68 states/eV per atom.